1.
Below is an optimized crystal structure of CaPtBr2, with properties calculated at the PBE-GGA level.

Geometry as CIF:
```
data_CaPtBr2
_chemical_formula_sum 'Ca2 Pt2 Br4'
_cell_length_a 4.0282
_cell_length_b 4.0282
_cell_length_c 11.4413
_cell_angle_alpha 90.00
_cell_angle_beta 90.00
_cell_angle_gamma 90.00
_space_group_name_H-M_alt 'I -4 m 2'
_space_group_IT_number 119
_space_group_name_Hall 'I -4 -2'
loop_
_atom_site_label
_atom_site_fract_x
_atom_site_fract_y
_atom_site_fract_z
_atom_site_occupancy
Ca1 0.0000 0.0000 0.0000 1
Pt1 0.0000 0.5000 0.7500 1
Br1 0.0000 0.0000 0.5000 1
Br2 0.0000 0.5000 0.2500 1
```

Raw total energy: -3.536 eV/atom
Energy above the lowest structure with this stoichiometry: 399.2 meV/atom

---

2.
Below is an optimized crystal structure of CaPtBr2, with properties calculated at the PBE-GGA level.

Geometry as CIF:
```
data_CaPtBr2
_chemical_formula_sum 'Ca2 Pt2 Br4'
_cell_length_a 6.8982
_cell_length_b 8.5754
_cell_length_c 4.9582
_cell_angle_alpha 90.00
_cell_angle_beta 133.87
_cell_angle_gamma 90.00
_space_group_name_H-M_alt 'C 1 2/m 1'
_space_group_IT_number 12
loop_
_space_group_symop_operation_xyz
'x,y,z'
'-x,-y,-z'
'-x,y,-z'
'x,-y,z'
'x+1/2,y+1/2,z'
'-x+1/2,-y+1/2,-z'
'-x+1/2,y+1/2,-z'
'x+1/2,-y+1/2,z'
loop_
_atom_site_label
_atom_site_fract_x
_atom_site_fract_y
_atom_site_fract_z
_atom_site_occupancy
Ca1 0.0000 0.0000 0.0000 1
Pt1 0.0000 0.5000 0.0000 1
Br1 0.2500 0.2500 0.5000 1
```

Raw total energy: -3.581 eV/atom
Energy above the lowest structure with this stoichiometry: 354.1 meV/atom

---

3.
Below is an optimized crystal structure of Rb2CaPtBr, with properties calculated at the PBE-GGA level.

Geometry as CIF:
```
data_Rb2CaPtBr
_chemical_formula_sum 'Rb2 Ca1 Pt1 Br1'
_cell_length_a 6.4534
_cell_length_b 6.4534
_cell_length_c 5.1721
_cell_angle_alpha 90.00
_cell_angle_beta 90.00
_cell_angle_gamma 90.00
_space_group_name_H-M_alt 'P 4/m m m'
_space_group_IT_number 123
_space_group_name_Hall '-P 4 2'
loop_
_atom_site_label
_atom_site_fract_x
_atom_site_fract_y
_atom_site_fract_z
_atom_site_occupancy
Rb1 0.0000 0.5000 0.0000 1
Ca1 0.0000 0.0000 0.5000 1
Pt1 0.5000 0.5000 0.5000 1
Br1 0.5000 0.5000 0.0000 1
```

Raw total energy: -2.369 eV/atom

---

4.
Below is an optimized crystal structure of Rb2CaPtBr6, with properties calculated at the PBE-GGA level.

Geometry as CIF:
```
data_Rb2CaPtBr6
_chemical_formula_sum 'Rb4 Ca2 Pt2 Br12'
_cell_length_a 7.5729
_cell_length_b 7.5729
_cell_length_c 12.7096
_cell_angle_alpha 90.00
_cell_angle_beta 90.00
_cell_angle_gamma 90.00
_space_group_name_H-M_alt 'I 4/m m m'
_space_group_IT_number 139
_space_group_name_Hall '-I 4 2'
loop_
_atom_site_label
_atom_site_fract_x
_atom_site_fract_y
_atom_site_fract_z
_atom_site_occupancy
Rb1 0.0000 0.5000 0.2500 1
Ca1 0.0000 0.0000 0.0000 1
Pt1 0.0000 0.0000 0.5000 1
Br1 0.0000 0.0000 0.2206 1
Br2 0.2293 0.2293 0.5000 1
```

Raw total energy: -3.281 eV/atom

---

5.
Below is an optimized crystal structure of Ca2RePtBr, with properties calculated at the PBE-GGA level.

Geometry as CIF:
```
data_Ca2RePtBr
_chemical_formula_sum 'Ca2 Re1 Pt1 Br1'
_cell_length_a 5.6835
_cell_length_b 5.6835
_cell_length_c 4.8062
_cell_angle_alpha 90.00
_cell_angle_beta 90.00
_cell_angle_gamma 90.00
_space_group_name_H-M_alt 'P 4/m m m'
_space_group_IT_number 123
_space_group_name_Hall '-P 4 2'
loop_
_atom_site_label
_atom_site_fract_x
_atom_site_fract_y
_atom_site_fract_z
_atom_site_occupancy
Ca1 0.0000 0.5000 0.0000 1
Re1 0.0000 0.0000 0.5000 1
Pt1 0.0000 0.0000 0.0000 1
Br1 0.5000 0.5000 0.5000 1
```

Raw total energy: -4.806 eV/atom

---

6.
Below is an optimized crystal structure of CaRu2PtBr, with properties calculated at the PBE-GGA level.

Geometry as CIF:
```
data_CaRu2PtBr
_chemical_formula_sum 'Ca1 Ru2 Pt1 Br1'
_cell_length_a 4.9061
_cell_length_b 4.9061
_cell_length_c 5.0645
_cell_angle_alpha 90.00
_cell_angle_beta 90.00
_cell_angle_gamma 90.00
_space_group_name_H-M_alt 'P 4/m m m'
_space_group_IT_number 123
_space_group_name_Hall '-P 4 2'
loop_
_atom_site_label
_atom_site_fract_x
_atom_site_fract_y
_atom_site_fract_z
_atom_site_occupancy
Ca1 0.0000 0.0000 0.0000 1
Ru1 0.0000 0.5000 0.0000 1
Pt1 0.5000 0.5000 0.5000 1
Br1 0.0000 0.0000 0.5000 1
```

Raw total energy: -3.745 eV/atom

---

7.
Below is an optimized crystal structure of Ca2TePtBr, with properties calculated at the PBE-GGA level.

Geometry as CIF:
```
data_Ca2TePtBr
_chemical_formula_sum 'Ca2 Te1 Pt1 Br1'
_cell_length_a 5.9338
_cell_length_b 5.9338
_cell_length_c 5.0268
_cell_angle_alpha 90.00
_cell_angle_beta 90.00
_cell_angle_gamma 90.00
_space_group_name_H-M_alt 'P 4/m m m'
_space_group_IT_number 123
_space_group_name_Hall '-P 4 2'
loop_
_atom_site_label
_atom_site_fract_x
_atom_site_fract_y
_atom_site_fract_z
_atom_site_occupancy
Ca1 0.0000 0.5000 0.0000 1
Te1 0.0000 0.0000 0.0000 1
Pt1 0.0000 0.0000 0.5000 1
Br1 0.5000 0.5000 0.5000 1
```

Raw total energy: -3.590 eV/atom

---

8.
Below is an optimized crystal structure of CaTl2PtBr, with properties calculated at the PBE-GGA level.

Geometry as CIF:
```
data_CaTl2PtBr
_chemical_formula_sum 'Ca1 Tl2 Pt1 Br1'
_cell_length_a 5.1445
_cell_length_b 5.1445
_cell_length_c 6.8744
_cell_angle_alpha 90.00
_cell_angle_beta 90.00
_cell_angle_gamma 90.00
_space_group_name_H-M_alt 'P 4/m m m'
_space_group_IT_number 123
_space_group_name_Hall '-P 4 2'
loop_
_atom_site_label
_atom_site_fract_x
_atom_site_fract_y
_atom_site_fract_z
_atom_site_occupancy
Ca1 0.0000 0.0000 0.0000 1
Tl1 0.0000 0.5000 0.5000 1
Pt1 0.5000 0.5000 0.5000 1
Br1 0.5000 0.5000 0.0000 1
```

Raw total energy: -3.031 eV/atom

---

9.
Below is an optimized crystal structure of CaPu2Br6, with properties calculated at the PBE-GGA level.

Geometry as CIF:
```
data_CaPu2Br6
_chemical_formula_sum 'Ca2 Pu4 Br12'
_cell_length_a 7.0427
_cell_length_b 7.0427
_cell_length_c 13.2125
_cell_angle_alpha 90.00
_cell_angle_beta 90.00
_cell_angle_gamma 90.00
_space_group_name_H-M_alt 'P 42/m n m'
_space_group_IT_number 136
_space_group_name_Hall '-P 4n 2n'
loop_
_atom_site_label
_atom_site_fract_x
_atom_site_fract_y
_atom_site_fract_z
_atom_site_occupancy
Ca1 0.0000 0.0000 0.0000 1
Pu1 0.0000 0.0000 0.3364 1
Br1 0.1973 0.1973 0.1639 1
Br2 0.2059 0.2059 0.5000 1
```

Raw total energy: -6.095 eV/atom
Energy above the lowest structure with this stoichiometry: 46.8 meV/atom

---

10.
Below is an optimized crystal structure of Ca3PuBr8, with properties calculated at the PBE-GGA level.

Geometry as CIF:
```
data_Ca3PuBr8
_chemical_formula_sum 'Ca6 Pu2 Br16'
_cell_length_a 14.5960
_cell_length_b 8.6539
_cell_length_c 8.5202
_cell_angle_alpha 90.00
_cell_angle_beta 124.10
_cell_angle_gamma 90.00
_space_group_name_H-M_alt 'C 1 2/m 1'
_space_group_IT_number 12
loop_
_space_group_symop_operation_xyz
'x,y,z'
'-x,-y,-z'
'-x,y,-z'
'x,-y,z'
'x+1/2,y+1/2,z'
'-x+1/2,-y+1/2,-z'
'-x+1/2,y+1/2,-z'
'x+1/2,-y+1/2,z'
loop_
_atom_site_label
_atom_site_fract_x
_atom_site_fract_y
_atom_site_fract_z
_atom_site_occupancy
Ca1 0.0000 0.0000 0.0000 1
Ca2 0.2500 0.2500 0.5000 1
Pu1 0.0000 0.5000 0.0000 1
Br1 0.0081 0.2440 0.2460 1
Br2 0.2427 0.0000 0.2595 1
Br3 0.2481 0.5000 0.2659 1
```

Raw total energy: -4.680 eV/atom

---

11.
Below is an optimized crystal structure of CaPuBr4, with properties calculated at the PBE-GGA level.

Geometry as CIF:
```
data_CaPuBr4
_chemical_formula_sum 'Ca1 Pu1 Br4'
_cell_length_a 5.1029
_cell_length_b 5.1029
_cell_length_c 7.2364
_cell_angle_alpha 90.00
_cell_angle_beta 90.00
_cell_angle_gamma 90.00
_space_group_name_H-M_alt 'P 4/m m m'
_space_group_IT_number 123
_space_group_name_Hall '-P 4 2'
loop_
_atom_site_label
_atom_site_fract_x
_atom_site_fract_y
_atom_site_fract_z
_atom_site_occupancy
Ca1 0.0000 0.0000 0.0000 1
Pu1 0.5000 0.5000 0.5000 1
Br1 0.0000 0.5000 0.2466 1
```

Raw total energy: -5.486 eV/atom
Energy above the lowest structure with this stoichiometry: 63.3 meV/atom

---

We obtain formation energy from raw total energies values of -689.3, -734.5, -39.4, -1279.7, 27.4, 1908.7, -618.0, -141.1, -1573.0, -1870.2, -1648.4 meV/atom for the records listed above, in that order.